[1]
Material: HoPaBi
Method: DFT, PBE
State: optimized geometry

Cell and atoms, written as CIF:
```
data_HoPaBi
_space_group_name_H-M_alt 'C 1 2/m 1'
_space_group_IT_number 12
_cell_length_a 11.653
_cell_length_b 5.429
_cell_length_c 6.737
_cell_angle_alpha 90.00
_cell_angle_beta 125.21
_cell_angle_gamma 90.00
loop_
_space_group_symop_operation_xyz
'x,y,z'
'-x,-y,-z'
'-x,y,-z'
'x,-y,z'
'x+1/2,y+1/2,z'
'-x+1/2,-y+1/2,-z'
'-x+1/2,y+1/2,-z'
'x+1/2,-y+1/2,z'
loop_
_atom_site_label
_atom_site_fract_x
_atom_site_fract_y
_atom_site_fract_z
Ho1 0.001 0.000 0.249
Pa1 0.135 0.500 0.636
Bi1 0.180 0.500 0.181
```

Values from the calculation:
crystal system: monoclinic
total moment: 0.000 μB per formula unit
energy above the lowest structure with this stoichiometry: 0 meV per atom
DFT formation energy: -0.113 eV per atom



[2]
Material: HoPaBi2
Method: DFT, PBE
State: optimized geometry

Cell and atoms, written as CIF:
```
data_HoPaBi2
_space_group_name_H-M_alt 'P 4/m m m'
_space_group_IT_number 123
_space_group_name_Hall '-P 4 2'
_cell_length_a 5.403
_cell_length_b 5.403
_cell_length_c 3.907
_cell_angle_alpha 90.00
_cell_angle_beta 90.00
_cell_angle_gamma 90.00
loop_
_atom_site_label
_atom_site_fract_x
_atom_site_fract_y
_atom_site_fract_z
Ho1 0.000 0.000 0.000
Pa1 0.500 0.500 0.000
Bi1 0.000 0.500 0.500
```

Values from the calculation:
crystal system: tetragonal
total moment: 1.682 μB per formula unit
energy above the lowest structure with this stoichiometry: 92 meV per atom
DFT formation energy: -0.334 eV per atom



Copy entry 1 word for word.
Material: HoPaBi
Method: DFT, PBE
State: optimized geometry

Cell and atoms, written as CIF:
```
data_HoPaBi
_space_group_name_H-M_alt 'C 1 2/m 1'
_space_group_IT_number 12
_cell_length_a 11.653
_cell_length_b 5.429
_cell_length_c 6.737
_cell_angle_alpha 90.00
_cell_angle_beta 125.21
_cell_angle_gamma 90.00
loop_
_space_group_symop_operation_xyz
'x,y,z'
'-x,-y,-z'
'-x,y,-z'
'x,-y,z'
'x+1/2,y+1/2,z'
'-x+1/2,-y+1/2,-z'
'-x+1/2,y+1/2,-z'
'x+1/2,-y+1/2,z'
loop_
_atom_site_label
_atom_site_fract_x
_atom_site_fract_y
_atom_site_fract_z
Ho1 0.001 0.000 0.249
Pa1 0.135 0.500 0.636
Bi1 0.180 0.500 0.181
```

Values from the calculation:
crystal system: monoclinic
total moment: 0.000 μB per formula unit
energy above the lowest structure with this stoichiometry: 0 meV per atom
DFT formation energy: -0.113 eV per atom



Question: DFT formation energy of number 2 (HoPaBi2)?
Answer: -0.334 eV per atom



Question: energy above the lowest structure with this stoichiometry of number 1 (HoPaBi)?
Answer: 0 meV per atom